Crystalline Sc3PC at its relaxed geometry, computed with PBE-GGA.

Results
The value obtained for the magnetic moment is 0.3 μB per formula unit. The calculated volume comes out at 697.0 Å³ per cell. The value obtained for the formation energy is -4.02 eV/f.u. The total energy is -7.53 eV/atom.

CIF file:
```
data_Sc3PC
_chemical_formula_sum 'Sc24 P8 C8'
_cell_length_a 10.414
_cell_length_b 11.764
_cell_length_c 5.743
_cell_angle_alpha 90.00
_cell_angle_beta 97.85
_cell_angle_gamma 90.00
_space_group_name_H-M_alt 'C 1 2/c 1'
_space_group_IT_number 15
loop_
_space_group_symop_operation_xyz
'x,y,z'
'-x,-y,-z'
'-x,y,-z+1/2'
'x,-y,z+1/2'
'x+1/2,y+1/2,z'
'-x+1/2,-y+1/2,-z'
'-x+1/2,y+1/2,-z+1/2'
'x+1/2,-y+1/2,z+1/2'
loop_
_atom_site_label
_atom_site_type_symbol
_atom_site_fract_x
_atom_site_fract_y
_atom_site_fract_z
Sc1 Sc 0.095 0.133 0.074
Sc2 Sc 0.122 0.428 0.112
Sc3 Sc 0.124 0.298 0.603
P1 P 0.176 0.082 0.528
C1 C 0.000 0.284 0.250
C2 C 0.000 0.430 0.750
```